*i*
A plane-wave DFT calculation with PBE was carried out for crystalline Si2HI2 at its relaxed geometry.

The space group is P4/mbm (No. 127) and the conventional cell measures 9.639, 9.639 and 3.978 Å, with angles of 90.00, 90.00 and 90.00 degrees. The asymmetric unit holds Si at (0.085, 0.415, 0.000), H at (0.000, 0.000, 0.500) and I at (0.145, 0.645, 0.500).



*ii*
A plane-wave DFT calculation with PBE was carried out for crystalline Si2HI2 at its relaxed geometry.

The space group is I4/mmm (No. 139) and the conventional cell measures 3.624, 3.624 and 18.732 Å, with angles of 90.00, 90.00 and 90.00 degrees. The asymmetric unit holds Si at (0.000, 0.500, 0.250), H at (0.000, 0.000, 0.000) and I at (0.000, 0.000, 0.386).



Question: which arrangement is favored energetically? Ranking from most to least stable: *ii*, *i*.